1.
SmGdCuGe | PBE-GGA | relaxed

Values from the calculation:
Space-group type: F-43m
DOS(E_F) (states/eV per cell): 2.896
Energy of formation from the pure elements (eV/atom): -0.492

POSCAR file:
```
SmGdCuGe
1.0
0.000 3.570 3.570
3.570 0.000 3.570
3.570 3.570 0.000
Sm Gd Cu Ge
1 1 1 1
direct
0.000 0.000 0.000
0.500 0.500 0.500
0.250 0.250 0.250
0.750 0.750 0.750
```

=====

2.
HoSbH | PBE-GGA | relaxed

Values from the calculation:
Space-group type: P-6m2
DOS(E_F) (states/eV per cell): 1.382
Excess energy over the best structure of this formula in the dataset (eV per atom): 0.0000

POSCAR file:
```
HoSbH
1.0
3.737 0.000 0.000
-1.869 3.237 0.000
0.000 0.000 4.678
Ho Sb H
1 1 1
direct
0.000 0.000 0.000
0.667 0.333 0.500
0.333 0.667 0.000
```

=====

3.
Re3Ir | PBE-GGA | relaxed

Values from the calculation:
Space-group type: P4/mmm
DOS(E_F) (states/eV per cell): 3.505
Energy of formation from the pure elements (eV/atom): -0.038

POSCAR file:
```
Re3Ir
1.0
2.749 0.000 0.000
0.000 2.749 0.000
0.000 0.000 7.861
Re Ir
3 1
direct
0.000 0.000 0.000
0.500 0.500 0.249
0.500 0.500 0.751
0.000 0.000 0.500
```

=====

4.
Y3RhPb | PBE-GGA | relaxed

Values from the calculation:
Space-group type: Pm-3m
DOS(E_F) (states/eV per cell): 6.326
Energy of formation from the pure elements (eV/atom): -0.424
Excess energy over the best structure of this formula in the dataset (eV per atom): 0.0000

POSCAR file:
```
Y3RhPb
1.0
5.339 0.000 0.000
0.000 5.339 0.000
0.000 0.000 5.339
Y Rh Pb
3 1 1
direct
0.000 0.000 0.500
0.000 0.500 0.000
0.500 0.000 0.000
0.000 0.000 0.000
0.500 0.500 0.500
```

=====

5.
RbCaHg3 | PBE-GGA | relaxed

Values from the calculation:
Space-group type: Pm-3m
DOS(E_F) (states/eV per cell): 2.989
Energy of formation from the pure elements (eV/atom): 0.256
Excess energy over the best structure of this formula in the dataset (eV per atom): 0.5750

POSCAR file:
```
RbCaHg3
1.0
6.238 0.000 0.000
0.000 6.238 0.000
0.000 0.000 6.238
Rb Ca Hg
1 1 3
direct
0.000 0.000 0.000
0.500 0.500 0.500
0.000 0.000 0.500
0.000 0.500 0.000
0.500 0.000 0.000
```

=====

6.
LaPmDy2 | PBE-GGA | relaxed

Values from the calculation:
Space-group type: Cmcm
DOS(E_F) (states/eV per cell): 12.096
Energy of formation from the pure elements (eV/atom): 0.046
Excess energy over the best structure of this formula in the dataset (eV per atom): 0.0322

POSCAR file:
```
LaPmDy2
1.0
4.015 -5.895 0.000
4.015 5.895 0.000
0.000 0.000 5.728
La Pm Dy
2 2 4
direct
0.123 0.877 0.750
0.877 0.123 0.250
0.329 0.671 0.250
0.671 0.329 0.750
0.188 0.384 0.750
0.384 0.188 0.250
0.616 0.812 0.750
0.812 0.616 0.250
```

=====

7.
KBe2H6 | PBE-GGA | relaxed

Values from the calculation:
Space-group type: C2/c
DOS(E_F) (states/eV per cell): 0.293
Excess energy over the best structure of this formula in the dataset (eV per atom): 0.0000

POSCAR file:
```
KBe2H6
1.0
4.321 -5.956 0.000
4.321 5.956 0.000
-0.111 0.000 3.803
K Be H
2 4 12
direct
0.218 0.782 0.750
0.782 0.218 0.250
0.197 0.289 0.761
0.289 0.197 0.261
0.711 0.803 0.739
0.803 0.711 0.239
0.069 0.395 0.758
0.127 0.128 0.004
0.128 0.127 0.504
0.362 0.362 0.020
0.362 0.362 0.520
0.395 0.069 0.258
0.605 0.931 0.742
0.638 0.638 0.480
0.638 0.638 0.980
0.872 0.873 0.496
0.873 0.872 0.996
0.931 0.605 0.242
```

=====

8.
PtRhPb | PBE-GGA | relaxed

Values from the calculation:
Space-group type: I4mm
DOS(E_F) (states/eV per cell): 2.164
Energy of formation from the pure elements (eV/atom): 0.168
Excess energy over the best structure of this formula in the dataset (eV per atom): 0.1096

POSCAR file:
```
PtRhPb
1.0
-1.642 1.642 5.026
1.642 -1.642 5.026
1.642 1.642 -5.026
Pt Rh Pb
1 1 1
direct
0.000 0.000 0.000
0.663 0.663 0.000
0.327 0.327 0.000
```

=====

9.
Sr2CaAgO | PBE-GGA | relaxed

Values from the calculation:
Formation energy without anion corrections (eV/atom): -1.172
Space-group type: P4/mmm
DOS(E_F) (states/eV per cell): 3.626

POSCAR file:
```
Sr2CaAgO
1.0
5.261 0.000 0.000
0.000 5.261 0.000
0.000 0.000 4.765
Sr Ca Ag O
2 1 1 1
direct
0.000 0.500 0.000
0.500 0.000 0.000
0.000 0.000 0.500
0.500 0.500 0.500
0.000 0.000 0.000
```

=====

10.
Tb3Ho9Er2 | PBE-GGA | relaxed

Values from the calculation:
Space-group type: P1
DOS(E_F) (states/eV per cell): 21.484
Energy of formation from the pure elements (eV/atom): 0.107

POSCAR file:
```
Tb3Ho9Er2
1.0
6.410 0.000 0.000
-0.537 6.451 0.000
-2.720 -3.155 10.651
Tb Ho Er
3 9 2
direct
0.000 0.000 0.000
0.126 0.814 0.493
0.792 0.168 0.505
0.116 0.193 0.787
0.340 0.033 0.291
0.347 0.364 0.582
0.529 0.150 0.052
0.566 0.590 0.393
0.573 0.935 0.727
0.791 0.813 0.206
0.986 0.365 0.278
0.993 0.648 0.721
0.232 0.562 0.070
0.678 0.490 0.895
```

=====

11.
HoGa2Co2Ge | PBE-GGA | relaxed

Values from the calculation:
Space-group type: P4/mmm
DOS(E_F) (states/eV per cell): 6.361
Energy of formation from the pure elements (eV/atom): -0.194

POSCAR file:
```
HoGa2Co2Ge
1.0
4.338 0.000 0.000
0.000 4.338 0.000
0.000 0.000 5.505
Ho Ga Co Ge
1 2 2 1
direct
0.000 0.000 0.000
0.500 0.500 0.240
0.500 0.500 0.760
0.000 0.500 0.500
0.500 0.000 0.500
0.000 0.000 0.500
```

=====

12.
Co2Hg | PBE-GGA | relaxed

Values from the calculation:
Space-group type: I4/mmm
DOS(E_F) (states/eV per cell): 2.694
Energy of formation from the pure elements (eV/atom): 0.334

POSCAR file:
```
Co2Hg
1.0
-1.433 1.433 5.264
1.433 -1.433 5.264
1.433 1.433 -5.264
Co Hg
2 1
direct
0.190 0.190 0.000
0.810 0.810 0.000
0.500 0.500 0.000
```